--- P ---
Here is a geometry-optimized Fe2Ru2Pt structure from Alexandria via LeMat-Bulk. Energies are from PBE.

a = 7.006 Å, b = 7.006 Å, c = 2.671 Å
α = 90.00°, β = 90.00°, γ = 90.00°
Fractional positions:
Fe 0.120 0.380 0.000
Fe 0.380 0.880 0.000
Fe 0.620 0.120 0.000
Fe 0.880 0.620 0.000
Ru 0.173 0.673 0.500
Ru 0.327 0.173 0.500
Ru 0.673 0.827 0.500
Ru 0.827 0.327 0.500
Pt 0.000 0.000 0.000
Pt 0.500 0.500 0.000

Calculated values
M_tot in μB per formula unit: 0.0

=====

--- Q ---
Here is a geometry-optimized Fe2Ru2Pt structure from Alexandria via LeMat-Bulk. Energies are from PBE.

a = 7.090 Å, b = 7.090 Å, c = 2.736 Å
α = 90.00°, β = 90.00°, γ = 90.00°
Fractional positions:
Fe 0.168 0.332 0.000
Fe 0.332 0.832 0.000
Fe 0.668 0.168 0.000
Fe 0.832 0.668 0.000
Ru 0.128 0.628 0.500
Ru 0.372 0.128 0.500
Ru 0.628 0.872 0.500
Ru 0.872 0.372 0.500
Pt 0.000 0.000 0.500
Pt 0.500 0.500 0.500

Calculated values
M_tot in μB per formula unit: 3.9

=====

Which of them is the most stable, and which is the least stable? P and Q, in that order.

=====

--- P ---
Here is a geometry-optimized FePt3S structure from Alexandria via LeMat-Bulk. Energies are from PBE.

a = 4.600 Å, b = 4.600 Å, c = 4.600 Å
α = 90.00°, β = 90.00°, γ = 90.00°
Fractional positions:
Fe 0.000 0.000 0.000
Pt 0.000 0.000 0.500
Pt 0.000 0.500 0.000
Pt 0.500 0.000 0.000
S 0.500 0.500 0.500

Calculated values
M_tot in μB per formula unit: 4.0

=====

--- Q ---
Here is a geometry-optimized FePt3S structure from Alexandria via LeMat-Bulk. Energies are from PBE.

a = 4.484 Å, b = 4.484 Å, c = 4.484 Å
α = 90.00°, β = 90.00°, γ = 90.00°
Fractional positions:
Fe 0.000 0.000 0.000
Pt 0.000 0.500 0.500
Pt 0.500 0.000 0.500
Pt 0.500 0.500 0.000
S 0.500 0.500 0.500

Calculated values
M_tot in μB per formula unit: 3.6

=====

Which of them is the most stable, and which is the least stable? Q and P, in that order.

=====

--- P ---
Here is a geometry-optimized FePtS2 structure from Alexandria via LeMat-Bulk. Energies are from PBE.

a = 7.329 Å, b = 7.329 Å, c = 7.329 Å
α = 24.98°, β = 24.98°, γ = 24.98°
Fractional positions:
Fe 0.000 0.000 0.000
Pt 0.500 0.500 0.500
S 0.394 0.394 0.394
S 0.606 0.606 0.606

Calculated values
M_tot in μB per formula unit: 1.0

=====

--- Q ---
Here is a geometry-optimized FePtS2 structure from Alexandria via LeMat-Bulk. Energies are from PBE.

a = 7.183 Å, b = 7.183 Å, c = 7.183 Å
α = 28.56°, β = 28.56°, γ = 28.56°
Fractional positions:
Fe 0.000 0.000 0.000
Pt 0.500 0.500 0.500
S 0.104 0.104 0.104
S 0.896 0.896 0.896

Calculated values
M_tot in μB per formula unit: 2.2

=====

--- R ---
Here is a geometry-optimized FePtS2 structure from Alexandria via LeMat-Bulk. Energies are from PBE.

a = 4.317 Å, b = 4.317 Å, c = 4.317 Å
α = 60.00°, β = 60.00°, γ = 60.00°
Fractional positions:
Fe 0.000 0.000 0.000
Pt 0.500 0.500 0.500
S 0.250 0.250 0.250
S 0.750 0.750 0.750

Calculated values
M_tot in μB per formula unit: 2.3

=====

Which of them is the most stable, and which is the least stable? P and R, in that order.

=====

--- P ---
Here is a geometry-optimized FeSbPt3 structure from Alexandria via LeMat-Bulk. Energies are from PBE.

a = 4.648 Å, b = 4.648 Å, c = 4.648 Å
α = 90.00°, β = 90.00°, γ = 90.00°
Fractional positions:
Fe 0.000 0.000 0.000
Sb 0.500 0.500 0.500
Pt 0.000 0.000 0.500
Pt 0.000 0.500 0.000
Pt 0.500 0.000 0.000

Calculated values
M_tot in μB per formula unit: 3.7

=====

--- Q ---
Here is a geometry-optimized FeSbPt3 structure from Alexandria via LeMat-Bulk. Energies are from PBE.

a = 4.912 Å, b = 4.912 Å, c = 4.912 Å
α = 90.00°, β = 90.00°, γ = 90.00°
Fractional positions:
Fe 0.000 0.000 0.000
Sb 0.500 0.500 0.500
Pt 0.000 0.500 0.500
Pt 0.500 0.000 0.500
Pt 0.500 0.500 0.000

Calculated values
M_tot in μB per formula unit: 3.5

=====

Which of them is the most stable, and which is the least stable? P and Q, in that order.

=====

--- P ---
Here is a geometry-optimized Sc4FePt structure from Alexandria via LeMat-Bulk. Energies are from PBE.

a = 7.272 Å, b = 7.272 Å, c = 5.726 Å
α = 107.14°, β = 107.14°, γ = 110.89°
Fractional positions:
Sc 0.053 0.706 0.909
Sc 0.227 0.356 0.704
Sc 0.294 0.947 0.591
Sc 0.356 0.227 0.204
Sc 0.644 0.773 0.796
Sc 0.706 0.053 0.409
Sc 0.773 0.644 0.296
Sc 0.947 0.294 0.091
Fe 0.001 0.999 0.250
Fe 0.999 0.001 0.750
Pt 0.363 0.637 0.250
Pt 0.637 0.363 0.750

Calculated values
M_tot in μB per formula unit: 0.0

=====

--- Q ---
Here is a geometry-optimized Sc4FePt structure from Alexandria via LeMat-Bulk. Energies are from PBE.

a = 5.477 Å, b = 5.477 Å, c = 5.477 Å
α = 60.00°, β = 60.00°, γ = 60.00°
Fractional positions:
Sc 0.125 0.125 0.125
Sc 0.125 0.125 0.624
Sc 0.125 0.624 0.125
Sc 0.624 0.125 0.125
Fe 0.750 0.750 0.750
Pt 0.500 0.500 0.500

Calculated values
M_tot in μB per formula unit: 1.5

=====

Which of them is the most stable, and which is the least stable? P and Q, in that order.

=====

--- P ---
Here is a geometry-optimized FePtSe structure from Alexandria via LeMat-Bulk. Energies are from PBE.

a = 5.643 Å, b = 5.643 Å, c = 5.643 Å
α = 149.39°, β = 149.39°, γ = 43.84°
Fractional positions:
Fe 0.000 0.000 0.000
Pt 0.659 0.659 0.000
Se 0.358 0.358 0.000

Calculated values
M_tot in μB per formula unit: 3.0

=====

--- Q ---
Here is a geometry-optimized FePtSe structure from Alexandria via LeMat-Bulk. Energies are from PBE.

a = 3.870 Å, b = 3.870 Å, c = 3.478 Å
α = 90.00°, β = 90.00°, γ = 120.00°
Fractional positions:
Fe 0.000 0.000 0.000
Pt 0.667 0.333 0.461
Se 0.333 0.667 0.873

Calculated values
M_tot in μB per formula unit: 0.7

=====

Which of them is the most stable, and which is the least stable? P and Q, in that order.

=====

--- P ---
Here is a geometry-optimized Fe3PtSe structure from Alexandria via LeMat-Bulk. Energies are from PBE.

a = 4.711 Å, b = 4.711 Å, c = 4.711 Å
α = 90.00°, β = 90.00°, γ = 90.00°
Fractional positions:
Fe 0.000 0.000 0.500
Fe 0.000 0.500 0.000
Fe 0.500 0.000 0.000
Pt 0.000 0.000 0.000
Se 0.500 0.500 0.500

Calculated values
M_tot in μB per formula unit: 10.2

=====

--- Q ---
Here is a geometry-optimized Fe3PtSe structure from Alexandria via LeMat-Bulk. Energies are from PBE.

a = 4.339 Å, b = 4.339 Å, c = 4.339 Å
α = 90.00°, β = 90.00°, γ = 90.00°
Fractional positions:
Fe 0.000 0.000 0.500
Fe 0.000 0.500 0.000
Fe 0.500 0.000 0.000
Pt 0.500 0.500 0.500
Se 0.000 0.000 0.000

Calculated values
M_tot in μB per formula unit: 7.8

=====

Which of them is the most stable, and which is the least stable? Q and P, in that order.

=====

--- P ---
Here is a geometry-optimized FeSnPt3 structure from Alexandria via LeMat-Bulk. Energies are from PBE.

a = 4.615 Å, b = 4.615 Å, c = 4.615 Å
α = 90.00°, β = 90.00°, γ = 90.00°
Fractional positions:
Fe 0.000 0.000 0.000
Sn 0.500 0.500 0.500
Pt 0.000 0.000 0.500
Pt 0.000 0.500 0.000
Pt 0.500 0.000 0.000

Calculated values
M_tot in μB per formula unit: 0.0

=====

--- Q ---
Here is a geometry-optimized FeSnPt3 structure from Alexandria via LeMat-Bulk. Energies are from PBE.

a = 4.907 Å, b = 4.907 Å, c = 4.907 Å
α = 90.00°, β = 90.00°, γ = 90.00°
Fractional positions:
Fe 0.000 0.000 0.000
Sn 0.500 0.500 0.500
Pt 0.000 0.500 0.500
Pt 0.500 0.000 0.500
Pt 0.500 0.500 0.000

Calculated values
M_tot in μB per formula unit: 3.5

=====

Which of them is the most stable, and which is the least stable? P and Q, in that order.

=====

--- P ---
Here is a geometry-optimized FeSn2Pt structure from Alexandria via LeMat-Bulk. Energies are from PBE.

a = 4.670 Å, b = 4.670 Å, c = 4.670 Å
α = 60.00°, β = 60.00°, γ = 60.00°
Fractional positions:
Fe 0.000 0.000 0.000
Sn 0.250 0.250 0.250
Sn 0.750 0.750 0.750
Pt 0.500 0.500 0.500

Calculated values
M_tot in μB per formula unit: 2.1

=====

--- Q ---
Here is a geometry-optimized FeSn2Pt structure from Alexandria via LeMat-Bulk. Energies are from PBE.

a = 6.037 Å, b = 6.037 Å, c = 6.037 Å
α = 104.34°, β = 104.34°, γ = 120.32°
Fractional positions:
Fe 0.000 0.000 0.000
Fe 0.750 0.250 0.500
Sn 0.129 0.625 0.004
Sn 0.375 0.379 0.504
Sn 0.621 0.125 0.996
Sn 0.875 0.871 0.496
Pt 0.250 0.750 0.500
Pt 0.500 0.500 0.000

Calculated values
M_tot in μB per formula unit: 2.9

=====

Which of them is the most stable, and which is the least stable? P and Q, in that order.

=====

--- P ---
Here is a geometry-optimized Sr2FePt structure from Alexandria via LeMat-Bulk. Energies are from PBE.

a = 6.161 Å, b = 6.161 Å, c = 6.161 Å
α = 138.32°, β = 138.32°, γ = 60.41°
Fractional positions:
Sr 0.000 0.000 0.000
Sr 0.750 0.250 0.500
Fe 0.250 0.750 0.500
Pt 0.500 0.500 0.000

Calculated values
M_tot in μB per formula unit: 2.6

=====

--- Q ---
Here is a geometry-optimized Sr2FePt structure from Alexandria via LeMat-Bulk. Energies are from PBE.

a = 5.108 Å, b = 5.108 Å, c = 5.108 Å
α = 60.00°, β = 60.00°, γ = 60.00°
Fractional positions:
Sr 0.000 0.000 0.000
Sr 0.250 0.250 0.250
Fe 0.750 0.750 0.750
Pt 0.500 0.500 0.500

Calculated values
M_tot in μB per formula unit: 2.8

=====

Which of them is the most stable, and which is the least stable? P and Q, in that order.

=====

--- P ---
Here is a geometry-optimized Sr2FePt structure from Alexandria via LeMat-Bulk. Energies are from PBE.

a = 5.271 Å, b = 5.271 Å, c = 5.271 Å
α = 60.00°, β = 60.00°, γ = 60.00°
Fractional positions:
Sr 0.250 0.250 0.250
Sr 0.750 0.750 0.750
Fe 0.000 0.000 0.000
Pt 0.500 0.500 0.500

Calculated values
M_tot in μB per formula unit: 2.5

=====

--- Q ---
Here is a geometry-optimized Sr2FePt structure from Alexandria via LeMat-Bulk. Energies are from PBE.

a = 3.724 Å, b = 3.724 Å, c = 7.601 Å
α = 90.00°, β = 90.00°, γ = 90.00°
Fractional positions:
Sr 0.000 0.000 0.232
Sr 0.000 0.000 0.768
Fe 0.500 0.500 0.500
Pt 0.500 0.500 0.000

Calculated values
M_tot in μB per formula unit: 2.5

=====

--- R ---
Here is a geometry-optimized Sr2FePt structure from Alexandria via LeMat-Bulk. Energies are from PBE.

a = 4.359 Å, b = 6.050 Å, c = 6.050 Å
α = 45.22°, β = 90.00°, γ = 90.00°
Fractional positions:
Sr 0.000 0.000 0.000
Sr 0.500 0.285 0.285
Fe 0.000 0.689 0.689
Pt 0.500 0.589 0.589

Calculated values
M_tot in μB per formula unit: 2.4

=====

Which of them is the most stable, and which is the least stable? R and P, in that order.

=====

--- P ---
Here is a geometry-optimized SrFe3Pt structure from Alexandria via LeMat-Bulk. Energies are from PBE.

a = 4.564 Å, b = 4.564 Å, c = 4.564 Å
α = 90.00°, β = 90.00°, γ = 90.00°
Fractional positions:
Sr 0.000 0.000 0.000
Fe 0.000 0.000 0.500
Fe 0.000 0.500 0.000
Fe 0.500 0.000 0.000
Pt 0.500 0.500 0.500

Calculated values
M_tot in μB per formula unit: 7.8

=====

--- Q ---
Here is a geometry-optimized SrFe3Pt structure from Alexandria via LeMat-Bulk. Energies are from PBE.

a = 4.814 Å, b = 4.814 Å, c = 4.814 Å
α = 90.00°, β = 90.00°, γ = 90.00°
Fractional positions:
Sr 0.000 0.000 0.000
Fe 0.000 0.500 0.500
Fe 0.500 0.000 0.500
Fe 0.500 0.500 0.000
Pt 0.500 0.500 0.500

Calculated values
M_tot in μB per formula unit: 9.4

=====

Which of them is the most stable, and which is the least stable? Q and P, in that order.

=====

--- P ---
Here is a geometry-optimized TaFe2Pt structure from Alexandria via LeMat-Bulk. Energies are from PBE.

a = 3.857 Å, b = 3.857 Å, c = 3.711 Å
α = 90.00°, β = 90.00°, γ = 90.00°
Fractional positions:
Ta 0.000 0.000 0.000
Fe 0.000 0.500 0.500
Fe 0.500 0.000 0.500
Pt 0.500 0.500 0.000

Calculated values
M_tot in μB per formula unit: 2.8

=====

--- Q ---
Here is a geometry-optimized TaFe2Pt structure from Alexandria via LeMat-Bulk. Energies are from PBE.

a = 4.686 Å, b = 4.686 Å, c = 4.810 Å
α = 99.55°, β = 99.55°, γ = 33.88°
Fractional positions:
Ta 0.000 0.000 0.000
Fe 0.245 0.245 0.747
Fe 0.755 0.755 0.253
Pt 0.500 0.500 0.500

Calculated values
M_tot in μB per formula unit: 4.7

=====

Which of them is the most stable, and which is the least stable? P and Q, in that order.